(1)
NiSN2O | SCAN | PBEsol geometry

Volume   48.59 Å³/cell
Raw formation energy   10.963 eV/f.u.
E   -39.65 eV for the cell shown

Geometry as CIF:
```
data_NiSN2O
_chemical_formula_sum 'Ni1 S1 N2 O1'
_cell_length_a 3.627
_cell_length_b 3.627
_cell_length_c 3.694
_cell_angle_alpha 90.00
_cell_angle_beta 90.00
_cell_angle_gamma 90.00
_symmetry_space_group_name_H-M 'P 4/m m m'
_symmetry_Int_Tables_number 123
_symmetry_space_group_name_Hall '-P 4 2'
loop_
_atom_site_label
_atom_site_type_symbol
_atom_site_fract_x
_atom_site_fract_y
_atom_site_fract_z
_atom_site_occupancy
Ni1 Ni 0.000 0.000 0.000 1
S1 S 0.500 0.500 0.000 1
N1 N 0.000 0.500 0.500 1
O1 O 0.500 0.500 0.500 1
```

(2)
CaAs2Br | SCAN | PBEsol geometry

Volume   88.61 Å³/cell
Raw formation energy   -0.685 eV/f.u.
E   -70.19 eV for the cell shown

Geometry as CIF:
```
data_CaAs2Br
_chemical_formula_sum 'Ca1 As2 Br1'
_cell_length_a 5.234
_cell_length_b 5.234
_cell_length_c 3.235
_cell_angle_alpha 90.00
_cell_angle_beta 90.00
_cell_angle_gamma 90.00
_symmetry_space_group_name_H-M 'P 4/m m m'
_symmetry_Int_Tables_number 123
_symmetry_space_group_name_Hall '-P 4 2'
loop_
_atom_site_label
_atom_site_type_symbol
_atom_site_fract_x
_atom_site_fract_y
_atom_site_fract_z
_atom_site_occupancy
Ca1 Ca 0.000 0.000 0.000 1
As1 As 0.000 0.500 0.500 1
Br1 Br 0.500 0.500 0.000 1
```